(a)
{
  "formula": "CuAgSeN2",
  "functional": "PBE",
  "state": "optimized geometry",
  "lattice_angstrom": [[-3.3661, 1.8116, 1.1644], [-1.6312, -3.5555, 0.8161], [2.0468, 0.3089, 5.4363]],
  "species": ["Cu", "Ag", "N", "N", "Se"],
  "frac_coords": [[0.5000, 0.5000, 0.5000], [0.0000, 0.0000, 0.0000], [0.0000, 0.5000, 0.0000], [0.5000, 0.0000, 0.0000], [0.0000, 0.0000, 0.5000]]
}



(b)
{
  "formula": "CuAgSeN2",
  "functional": "PBE",
  "state": "optimized geometry",
  "lattice_angstrom": [[-0.7851, -0.4442, -3.6664], [-0.8520, -3.6255, 0.6217], [-5.5274, 1.4713, 1.0054]],
  "species": ["N", "N", "Cu", "Se", "Ag"],
  "frac_coords": [[0.5000, 0.0000, 0.0000], [0.0000, 0.5000, 0.0000], [0.0000, 0.0000, 0.0000], [0.0000, 0.0000, 0.5000], [0.5000, 0.5000, 0.5000]]
}



Stability summary: most stable (b), least stable (a).



(a)
{
  "formula": "CuAgSe2N",
  "functional": "PBE",
  "state": "optimized geometry",
  "lattice_angstrom": [[-1.9238, 1.8728, -4.3288], [-4.6900, -1.2551, 1.5413], [-0.3460, 3.1615, 1.5215]],
  "species": ["Se", "Se", "N", "Ag", "Cu"],
  "frac_coords": [[0.5000, 0.0000, 0.0000], [0.0000, 0.5000, 0.0000], [0.0000, 0.0000, 0.5000], [0.5000, 0.5000, 0.5000], [0.0000, 0.0000, 0.0000]]
}



(b)
{
  "formula": "CuAgSe2N",
  "functional": "PBE",
  "state": "optimized geometry",
  "lattice_angstrom": [[5.1771, 0.0000, 0.0000], [0.0000, 5.1771, 0.0000], [0.0000, 0.0000, 3.9525]],
  "species": ["N", "Se", "Se", "Cu", "Ag"],
  "frac_coords": [[0.0000, 0.0000, 0.5000], [0.0000, 0.5000, 0.0000], [0.5000, 0.0000, 0.0000], [0.5000, 0.5000, 0.5000], [0.0000, 0.0000, 0.0000]]
}



Stability summary: most stable (a), least stable (b).



(a)
{
  "formula": "NaCu2Ag",
  "functional": "PBE",
  "state": "optimized geometry",
  "lattice_angstrom": [[1.0242, 2.9617, 3.2430], [-1.8217, -0.4293, 4.1030], [2.5657, -1.2695, 3.4847]],
  "species": ["Na", "Cu", "Cu", "Ag"],
  "frac_coords": [[0.0000, 0.0000, 0.0000], [0.2500, 0.2500, 0.2500], [0.7500, 0.7500, 0.7500], [0.5000, 0.5000, 0.5000]]
}



(b)
{
  "formula": "NaCu2Ag",
  "functional": "PBE",
  "state": "optimized geometry",
  "lattice_angstrom": [[4.3351, 0.0000, 0.0000], [0.0000, 4.3351, 0.0000], [2.1675, 2.1675, 9.2463]],
  "species": ["Cu", "Cu", "Cu", "Cu", "Na", "Na", "Ag", "Ag"],
  "frac_coords": [[0.9731, 0.6250, 0.2500], [0.7769, 0.1250, 0.2500], [0.3750, 0.2231, 0.7500], [0.8750, 0.0269, 0.7500], [0.5000, 0.5000, 0.0000], [0.2500, 0.7500, 0.5000], [0.0000, 0.0000, 0.0000], [0.7500, 0.2500, 0.5000]]
}



Stability summary: most stable (a), least stable (b).



(a)
{
  "formula": "NaCuAg2",
  "functional": "PBE",
  "state": "optimized geometry",
  "lattice_angstrom": [[2.9486, 0.0000, 0.0000], [1.4743, 2.5535, 0.0000], [1.4743, 0.8512, 9.5212]],
  "species": ["Ag", "Ag", "Na", "Cu"],
  "frac_coords": [[0.2589, 0.2589, 0.2234], [0.7411, 0.7411, 0.7766], [0.5000, 0.5000, 0.5000], [0.0000, 0.0000, 0.0000]]
}



(b)
{
  "formula": "NaCuAg2",
  "functional": "PBE",
  "state": "optimized geometry",
  "lattice_angstrom": [[0.0000, 3.2806, 3.2806], [3.2806, 0.0000, 3.2806], [3.2806, 3.2806, 0.0000]],
  "species": ["Ag", "Ag", "Cu", "Na"],
  "frac_coords": [[0.2500, 0.2500, 0.2500], [0.7500, 0.7500, 0.7500], [0.5000, 0.5000, 0.5000], [0.0000, 0.0000, 0.0000]]
}



Stability summary: most stable (a), least stable (b).



(a)
{
  "formula": "Na2CuAg",
  "functional": "PBE",
  "state": "optimized geometry",
  "lattice_angstrom": [[8.0286, 0.0000, 0.0000], [0.0000, 8.0286, 0.0000], [4.0143, 4.0143, 2.7377]],
  "species": ["Cu", "Cu", "Na", "Na", "Na", "Na", "Ag", "Ag"],
  "frac_coords": [[0.5000, 0.5000, 0.0000], [0.2500, 0.7500, 0.5000], [0.1413, 0.6250, 0.2500], [0.6087, 0.1250, 0.2500], [0.3750, 0.3913, 0.7500], [0.8750, 0.8587, 0.7500], [0.0000, 0.0000, 0.0000], [0.7500, 0.2500, 0.5000]]
}



(b)
{
  "formula": "Na2CuAg",
  "functional": "PBE",
  "state": "optimized geometry",
  "lattice_angstrom": [[-1.0131, -2.8194, 0.0363], [0.4642, -1.7278, 2.4033], [-9.3351, 1.8265, 4.9838]],
  "species": ["Na", "Na", "Ag", "Cu"],
  "frac_coords": [[0.9141, 0.9141, 0.2577], [0.0859, 0.0859, 0.7423], [0.5000, 0.5000, 0.5000], [0.0000, 0.0000, 0.0000]]
}



(c)
{
  "formula": "Na2CuAg",
  "functional": "PBE",
  "state": "optimized geometry",
  "lattice_angstrom": [[0.0000, 3.5033, 3.5033], [3.5033, 0.0000, 3.5033], [3.5033, 3.5033, 0.0000]],
  "species": ["Na", "Na", "Cu", "Ag"],
  "frac_coords": [[0.2500, 0.2500, 0.2500], [0.7500, 0.7500, 0.7500], [0.0000, 0.0000, 0.0000], [0.5000, 0.5000, 0.5000]]
}



Stability summary: most stable (c), least stable (b).



(a)
{
  "formula": "NaCuAg3",
  "functional": "PBE",
  "state": "optimized geometry",
  "lattice_angstrom": [[4.9039, 0.0000, 0.0000], [0.0000, 4.9039, 0.0000], [0.0000, 0.0000, 4.9039]],
  "species": ["Ag", "Ag", "Ag", "Cu", "Na"],
  "frac_coords": [[0.0000, 0.0000, 0.5000], [0.5000, 0.0000, 0.0000], [0.0000, 0.5000, 0.0000], [0.5000, 0.5000, 0.5000], [0.0000, 0.0000, 0.0000]]
}



(b)
{
  "formula": "NaCuAg3",
  "functional": "PBE",
  "state": "optimized geometry",
  "lattice_angstrom": [[-4.3833, 2.1953, -0.3232], [-0.9976, -1.3105, 4.6286], [1.9821, 4.1952, 1.6150]],
  "species": ["Cu", "Ag", "Ag", "Ag", "Na"],
  "frac_coords": [[0.0000, 0.0000, 0.0000], [0.5000, 0.0000, 0.0000], [0.0000, 0.5000, 0.0000], [0.0000, 0.0000, 0.5000], [0.5000, 0.5000, 0.5000]]
}



Stability summary: most stable (b), least stable (a).



(a)
{
  "formula": "NaCu2Ag2",
  "functional": "PBE",
  "state": "optimized geometry",
  "lattice_angstrom": [[7.8413, 0.0000, 0.0000], [0.0000, 7.8413, 0.0000], [0.0000, 0.0000, 2.8228]],
  "species": ["Na", "Na", "Ag", "Ag", "Ag", "Ag", "Cu", "Cu", "Cu", "Cu"],
  "frac_coords": [[0.5000, 0.5000, 0.0000], [0.0000, 0.0000, 0.0000], [0.3679, 0.8679, 0.0000], [0.1321, 0.3679, 0.0000], [0.8679, 0.6321, 0.0000], [0.6321, 0.1321, 0.0000], [0.1642, 0.6642, 0.5000], [0.6642, 0.8358, 0.5000], [0.3358, 0.1642, 0.5000], [0.8358, 0.3358, 0.5000]]
}



(b)
{
  "formula": "NaCu2Ag2",
  "functional": "PBE",
  "state": "optimized geometry",
  "lattice_angstrom": [[-0.3869, -4.0142, -0.6354], [-0.5862, -0.5765, 3.9989], [-6.1169, -1.6371, 0.9513]],
  "species": ["Cu", "Cu", "Na", "Ag", "Ag"],
  "frac_coords": [[0.3971, 0.3971, 0.2058], [0.6029, 0.6029, 0.7942], [0.0000, 0.0000, 0.0000], [0.2500, 0.7500, 0.5000], [0.7500, 0.2500, 0.5000]]
}



Stability summary: most stable (a), least stable (b).